[1]
A geometry-optimized ZrBe8 structure. Source: the Alexandria database, functional PBE.

The value obtained for the total energy is -74.7 eV per cell. The crystal system is tetragonal. Its formation energy from the elements is 113 meV per atom.

The space group is I4/mmm (No. 139) and the conventional cell measures 7.2676, 7.2676 and 3.4773 Å, with angles of 90.00, 90.00 and 90.00 degrees. The asymmetric unit holds Zr at (0.0000, 0.0000, 0.0000), Be at (0.0000, 0.3542, 0.0000) and Be at (0.1924, 0.1924, 0.5000).



[2]
A geometry-optimized RbSiH3 structure. Source: the Alexandria database, functional PBE.

The value obtained for the total energy is -15.6 eV per cell. The crystal system is cubic.

The space group is Pm-3m (No. 221) and the conventional cell measures 3.9851, 3.9851 and 3.9851 Å, with angles of 90.00, 90.00 and 90.00 degrees. The asymmetric unit holds Rb at (0.0000, 0.0000, 0.0000), Si at (0.5000, 0.5000, 0.5000) and H at (0.0000, 0.5000, 0.5000).



[3]
A geometry-optimized Zr2CoRe structure. Source: the Alexandria database, functional PBE.

The value obtained for the total energy is -36.4 eV per cell. The crystal system is tetragonal. Its formation energy from the elements is 70 meV per atom.

The space group is P4mm (No. 99) and the conventional cell measures 2.8425, 2.8425 and 8.6211 Å, with angles of 90.00, 90.00 and 90.00 degrees. The asymmetric unit holds Zr at (0.0000, 0.0000, 0.0000), Zr at (0.5000, 0.5000, 0.3234), Co at (0.0000, 0.0000, 0.5583) and Re at (0.5000, 0.5000, 0.7329).



[4]
A geometry-optimized BaSnHg4 structure. Source: the Alexandria database, functional PBE.

For the energy above the most stable polymorph in this dataset, the calculation gives 83 meV/atom. The value obtained for the total energy is -33.8 eV per cell. The crystal system is cubic. Its formation energy from the elements is -219 meV per atom.

The space group is F-43m (No. 216) and the conventional cell measures 8.8953, 8.8953 and 8.8953 Å, with angles of 90.00, 90.00 and 90.00 degrees. The asymmetric unit holds Ba at (0.0000, 0.0000, 0.0000), Sn at (0.2500, 0.2500, 0.2500) and Hg at (0.1244, 0.1244, 0.6244).